The following is a PBE calculation of a relaxed Re2SnO crystal, from Alexandria via LeMat-Bulk.

The total DFT energy (no corrections) comes out at -7.4289 eV per atom. The calculation puts the total magnetization at 0.000 μB per cell.

The structure belongs to space group Fm-3m (No. 225); the cell edges are 6.208, 6.208 and 6.208 Å and the angles 90.00°, 90.00° and 90.00°. The asymmetric unit holds Re at (0.250, 0.250, 0.250), Sn at (0.000, 0.000, 0.000) and O at (0.000, 0.000, 0.500).